Compound: BaCdGe2
Source: the Open Quantum Materials Database
Functional: GGA-PBE
Structure: optimized geometry

```
BaCdGe2
1.0
7.5959 0.0000 0.0000
0.0000 7.5959 0.0000
0.0000 0.0000 7.5959
Ba Cd Ge
4 4 8
Direct
0.0000 0.0000 0.0000
0.0000 0.5000 0.5000
0.5000 0.0000 0.5000
0.5000 0.5000 0.0000
0.2500 0.2500 0.2500
0.2500 0.7500 0.7500
0.7500 0.2500 0.7500
0.7500 0.7500 0.2500
0.0000 0.0000 0.5000
0.0000 0.5000 0.0000
0.2500 0.2500 0.7500
0.2500 0.7500 0.2500
0.5000 0.0000 0.0000
0.5000 0.5000 0.5000
0.7500 0.2500 0.2500
0.7500 0.7500 0.7500
```

Properties
- VASP energy: -3.0457 eV/atom

***

Compound: BaCdHgGe2
Source: the Open Quantum Materials Database
Functional: GGA-PBE
Structure: optimized geometry

```
BaCdHgGe2
1.0
4.7481 0.0000 0.0000
0.0000 4.7481 0.0000
0.0000 0.0000 11.6184
Ba Cd Hg Ge
2 2 2 4
Direct
0.2500 0.2500 0.2501
0.7500 0.7500 0.7499
0.2500 0.7500 0.0000
0.7500 0.2500 0.0000
0.2500 0.2500 0.6326
0.7500 0.7500 0.3674
0.2500 0.2500 0.8661
0.2500 0.7500 0.5000
0.7500 0.2500 0.5000
0.7500 0.7500 0.1339
```

Properties
- VASP energy: -2.7908 eV/atom

***

What did the first record say?
Compound: BaCdGe2
Source: the Open Quantum Materials Database
Functional: GGA-PBE
Structure: optimized geometry

```
BaCdGe2
1.0
7.5959 0.0000 0.0000
0.0000 7.5959 0.0000
0.0000 0.0000 7.5959
Ba Cd Ge
4 4 8
Direct
0.0000 0.0000 0.0000
0.0000 0.5000 0.5000
0.5000 0.0000 0.5000
0.5000 0.5000 0.0000
0.2500 0.2500 0.2500
0.2500 0.7500 0.7500
0.7500 0.2500 0.7500
0.7500 0.7500 0.2500
0.0000 0.0000 0.5000
0.0000 0.5000 0.0000
0.2500 0.2500 0.7500
0.2500 0.7500 0.2500
0.5000 0.0000 0.0000
0.5000 0.5000 0.5000
0.7500 0.2500 0.2500
0.7500 0.7500 0.7500
```

Properties
- VASP energy: -3.0457 eV/atom

***

> Among the records above, which one has the highest VASP energy?

BaCdHgGe2

***

What did the first record say?
Compound: BaCdGe2
Source: the Open Quantum Materials Database
Functional: GGA-PBE
Structure: optimized geometry

```
BaCdGe2
1.0
7.5959 0.0000 0.0000
0.0000 7.5959 0.0000
0.0000 0.0000 7.5959
Ba Cd Ge
4 4 8
Direct
0.0000 0.0000 0.0000
0.0000 0.5000 0.5000
0.5000 0.0000 0.5000
0.5000 0.5000 0.0000
0.2500 0.2500 0.2500
0.2500 0.7500 0.7500
0.7500 0.2500 0.7500
0.7500 0.7500 0.2500
0.0000 0.0000 0.5000
0.0000 0.5000 0.0000
0.2500 0.2500 0.7500
0.2500 0.7500 0.2500
0.5000 0.0000 0.0000
0.5000 0.5000 0.5000
0.7500 0.2500 0.2500
0.7500 0.7500 0.7500
```

Properties
- VASP energy: -3.0457 eV/atom